#a
Material: Th3CoBi2
Method: DFT, GGA-PBE
State: relaxed

Cell: 4.5263 4.5263 18.0793 Å, 90.00 90.00 90.00°
Last column: nearest neighbours and their distance in Å.
Space group I4/mmm (No. 139)
Unique sites:
Th (0.0000, 0.0000, 0.0000)  4 Co 3.20, 2 Bi 3.24
Th (0.0000, 0.0000, 0.3642)  1 Co 2.45
Co (0.0000, 0.0000, 0.5000)  2 Th 2.45
Bi (0.0000, 0.0000, 0.1793)  6 Th 3.24-3.34

Properties
density of states at the Fermi level: 13.204 states/eV per cell

#b
Material: Th3CoBi2
Method: DFT, GGA-PBE
State: relaxed

Cell: 10.3267 8.4094 8.3002 Å, 90.00 105.35 90.00°
Last column: nearest neighbours and their distance in Å.
Space group C2/c (No. 15)
Unique sites:
Th (0.0000, 0.1082, 0.2500)  1 Co 2.47
Th (0.1452, 0.4122, 0.9710)  1 Co 2.57
Co (0.0000, 0.4018, 0.2500)  3 Th 2.47-2.57
Bi (0.1647, 0.2013, 0.6484)  7 Th 3.26-3.56, 1 Co 3.45, 1 Bi 3.48

Properties
density of states at the Fermi level: 16.086 states/eV per cell

Most stable structure: #a

#a
Material: Th4CoBi3
Method: DFT, GGA-PBE
State: relaxed

Cell: 6.3748 10.4814 9.0061 Å, 90.00 90.00 90.00°
Last column: nearest neighbours and their distance in Å.
Space group Pmmn (No. 59, origin choice 2)
Unique sites:
Th (0.2500, 0.0447, 0.2033)  1 Co 2.50
Th (0.2500, 0.2500, 0.6221)  1 Co 2.49
Th (0.2500, 0.7500, 0.6497)  2 Co 3.19, 3 Bi 3.21-3.22
Co (0.2500, 0.2500, 0.3455)  3 Th 2.49-2.50
Bi (0.2500, 0.0068, 0.8454)  5 Th 3.22-3.26
Bi (0.2500, 0.7500, 0.2934)  5 Th 3.19-3.28

Properties
density of states at the Fermi level: 21.022 states/eV per cell

#b
Material: Th4CoBi3
Method: DFT, GGA-PBE
State: relaxed

Cell: 8.0000 9.0985 7.4297 Å, 90.00 108.68 90.00°
Last column: nearest neighbours and their distance in Å.
Space group P2/c (No. 13)
Unique sites:
Th (0.1983, 0.1109, 0.0250)  1 Co 2.65
Th (0.2313, 0.3432, 0.4765)  1 Co 2.91, 4 Bi 3.15-3.24
Co (0.0000, 0.1174, 0.2500)  4 Th 2.65-2.91
Bi (0.0000, 0.3830, 0.7500)  6 Th 3.18-3.28
Bi (0.5000, 0.1179, 0.7500)  4 Th 3.19-3.22
Bi (0.5000, 0.3864, 0.2500)  6 Th 3.15-3.51

Properties
density of states at the Fermi level: 7.483 states/eV per cell

Most stable structure: #b

#a
Material: Ti3CoBi
Method: DFT, GGA-PBE
State: relaxed

Cell: 10.8144 13.2049 5.2279 Å, 90.00 99.69 90.00°
Last column: nearest neighbours and their distance in Å.
Space group C2/c (No. 15)
Unique sites:
Ti (0.1102, 0.2352, 0.0320)  5 Ti 2.81-3.12, 2 Co 2.85-2.86, 2 Bi 2.96-3.13
Ti (0.1497, 0.3192, 0.5594)  2 Co 2.35-2.37
Ti (0.1763, 0.4553, 0.0504)  2 Co 2.34-2.42
Co (0.0000, 0.4037, 0.2500)  4 Ti 2.37-2.42, 3 Co 2.50-2.61
Co (0.0000, 0.4072, 0.7500)  4 Ti 2.34-2.35, 3 Co 2.50-2.61
Bi (0.1130, 0.1016, 0.5278)  7 Ti 2.88-3.18

Properties
density of states at the Fermi level: 34.909 states/eV per cell

#b
Material: Ti3CoBi
Method: DFT, GGA-PBE
State: relaxed

Cell: 4.5599 4.5599 4.5599 Å, 90.00 90.00 90.00°
Last column: nearest neighbours and their distance in Å.
Space group Pm-3m (No. 221)
Unique sites:
Ti (0.0000, 0.0000, 0.5000)  2 Co 2.28
Co (0.0000, 0.0000, 0.0000)  6 Ti 2.28
Bi (0.5000, 0.5000, 0.5000)  12 Ti 3.22

Properties
density of states at the Fermi level: 4.309 states/eV per cell

#c
Material: Ti3CoBi
Method: DFT, GGA-PBE
State: relaxed

Cell: 7.1313 3.7774 7.3275 Å, 90.00 113.50 90.00°
Last column: nearest neighbours and their distance in Å.
Space group P2_1/m (No. 11)
Unique sites:
Ti (0.0013, 0.2500, 0.1956)  3 Co 2.57-2.85
Ti (0.2950, 0.7500, 0.6077)  3 Co 2.43-2.52
Ti (0.3345, 0.2500, 0.9330)  1 Co 2.34
Co (0.0813, 0.2500, 0.6095)  6 Ti 2.34-2.57, 2 Co 2.45
Bi (0.3342, 0.7500, 0.2257)  9 Ti 2.86-3.08

Properties
density of states at the Fermi level: 10.725 states/eV per cell

Most stable structure: #c

#a
Material: Ti2Co2Bi
Method: DFT, GGA-PBE
State: relaxed

Cell: 3.4610 3.4610 14.8427 Å, 90.00 90.00 90.00°
Last column: nearest neighbours and their distance in Å.
Space group I4/mmm (No. 139)
Unique sites:
Ti (0.0000, 0.0000, 0.1387)  4 Co 2.39
Co (0.0000, 0.5000, 0.2500)  4 Ti 2.39, 4 Co 2.45
Bi (0.0000, 0.0000, 0.5000)  8 Ti 3.20, 4 Bi 3.46

Properties
density of states at the Fermi level: 10.739 states/eV per cell

#b
Material: Ti2Co2Bi
Method: DFT, GGA-PBE
State: relaxed

Cell: 7.1364 7.1364 3.0754 Å, 90.00 90.00 90.00°
Last column: nearest neighbours and their distance in Å.
Space group P4/mbm (No. 127)
Unique sites:
Ti (0.1533, 0.3467, 0.0000)  6 Co 2.53-2.70
Co (0.1269, 0.6269, 0.5000)  6 Ti 2.53-2.70, 1 Co 2.56, 2 Bi 2.81
Bi (0.0000, 0.0000, 0.5000)  4 Co 2.81, 2 Bi 3.08, 8 Ti 3.11

Properties
density of states at the Fermi level: 8.227 states/eV per cell

Most stable structure: #b

#a
Material: TlCo2Bi
Method: DFT, GGA-PBE
State: relaxed

Cell: 7.0435 7.0435 6.2686 Å, 90.00 90.00 90.00°
Last column: nearest neighbours and their distance in Å.
Space group I-42d (No. 122)
Unique sites:
Tl (0.0000, 0.0000, 0.0000)  4 Co 2.65
Co (0.2420, 0.2500, 0.6250)  2 Bi 2.57, 2 Tl 2.65
Bi (0.0000, 0.0000, 0.5000)  4 Co 2.57

Properties
density of states at the Fermi level: 18.863 states/eV per cell

#b
Material: TlCo2Bi
Method: DFT, GGA-PBE
State: relaxed

Cell: 6.5915 6.5915 6.5915 Å, 90.00 90.00 90.00°
Last column: nearest neighbours and their distance in Å.
Space group Fm-3m (No. 225)
Unique sites:
Tl (0.0000, 0.0000, 0.0000)  8 Co 2.85
Co (0.2500, 0.2500, 0.2500)  4 Tl 2.85, 4 Bi 2.85
Bi (0.0000, 0.0000, 0.5000)  8 Co 2.85

Properties
density of states at the Fermi level: 11.324 states/eV per cell

Most stable structure: #b

#a
Material: Tm5CoBi2
Method: DFT, GGA-PBE
State: relaxed

Cell: 5.3100 15.9465 14.0840 Å, 90.00 90.00 90.00°
Last column: nearest neighbours and their distance in Å.
Space group Cmcm (No. 63)
Unique sites:
Tm (0.0000, 0.0533, 0.1237)  1 Co 2.51
Tm (0.0000, 0.2673, 0.1092)  1 Co 2.58
Tm (0.0000, 0.3130, 0.7500)  2 Co 2.68
Co (0.0000, 0.1644, 0.2500)  6 Tm 2.51-2.68
Bi (0.0000, 0.1404, 0.5762)  5 Tm 3.07-3.30

Properties
density of states at the Fermi level: 13.700 states/eV per cell

#b
Material: Tm5CoBi2
Method: DFT, GGA-PBE
State: relaxed

Cell: 7.9926 12.2837 4.3907 Å, 90.00 90.00 90.00°
Last column: nearest neighbours and their distance in Å.
Space group Pbam (No. 55)
Unique sites:
Tm (0.0000, 0.0000, 0.0000)  4 Bi 3.12, 4 Tm 3.48
Tm (0.1374, 0.3124, 0.0000)  1 Co 2.55
Tm (0.1755, 0.5615, 0.5000)  2 Co 2.71
Co (0.0000, 0.5000, 0.0000)  6 Tm 2.55-2.71
Bi (0.0660, 0.8248, 0.5000)  8 Tm 3.12-3.42

Properties
density of states at the Fermi level: 7.010 states/eV per cell

Most stable structure: #b

#a
Material: Tm3CoBi
Method: DFT, GGA-PBE
State: relaxed

Cell: 5.1067 5.1067 5.1067 Å, 90.00 90.00 90.00°
Last column: nearest neighbours and their distance in Å.
Space group Pm-3m (No. 221)
Unique sites:
Tm (0.0000, 0.0000, 0.5000)  2 Co 2.55
Co (0.0000, 0.0000, 0.0000)  6 Tm 2.55
Bi (0.5000, 0.5000, 0.5000)  12 Tm 3.61

Properties
density of states at the Fermi level: 2.101 states/eV per cell

#b
Material: Tm3CoBi
Method: DFT, GGA-PBE
State: relaxed

Cell: 9.9882 6.4896 8.7786 Å, 90.00 114.72 90.00°
Last column: nearest neighbours and their distance in Å.
Space group C2/m (No. 12)
Unique sites:
Tm (0.0121, 0.0000, 0.1964)  2 Co 2.66
Tm (0.1844, 0.5000, 0.8731)  2 Co 2.78
Tm (0.1897, 0.5000, 0.3004)  2 Co 2.79
Co (0.0000, 0.3177, 0.0000)  1 Co 2.37
Bi (0.0000, 0.2596, 0.5000)  2 Bi 3.12-3.37, 8 Tm 3.20-3.45

Properties
density of states at the Fermi level: 19.275 states/eV per cell

Most stable structure: #a

#a
Material: Tm6CoBi2
Method: DFT, GGA-PBE
State: relaxed

Cell: 6.6545 6.6545 13.8147 Å, 90.00 90.00 90.00°
Last column: nearest neighbours and their distance in Å.
Space group P4_2/mnm (No. 136)
Unique sites:
Tm (0.1811, 0.1811, 0.1337)  1 Co 2.51
Tm (0.2214, 0.2214, 0.5000)  1 Co 2.62
Co (0.0000, 0.0000, 0.0000)  6 Tm 2.51-2.62
Bi (0.0000, 0.0000, 0.3242)  6 Tm 3.06-3.20

Properties
density of states at the Fermi level: 20.744 states/eV per cell

#b
Material: Tm6CoBi2
Method: DFT, GGA-PBE
State: relaxed

Cell: 8.2743 8.2743 4.0572 Å, 90.00 90.00 120.00°
Last column: nearest neighbours and their distance in Å.
Space group P-62m (No. 189)
Unique sites:
Tm (0.0000, 0.2308, 0.0000)  2 Co 2.79
Tm (0.0000, 0.6112, 0.5000)  1 Co 3.22, 4 Bi 3.27, 4 Tm 3.46
Co (0.0000, 0.0000, 0.5000)  6 Tm 2.79
Bi (0.3333, 0.6667, 0.0000)  9 Tm 3.27

Properties
density of states at the Fermi level: 10.377 states/eV per cell

Most stable structure: #b